Entry 1:
Entry from Alexandria via LeMat-Bulk: a geometry-optimized CuSn2Pd8 structure (PBE).

Results
- magnetic moment (μB per formula unit) = 0.000

Geometry as POSCAR:
```
CuSn2Pd8
1.0
-1.181 -2.111 -3.418
5.775 0.935 -2.574
0.625 -4.950 5.407
Cu Sn Pd
1 2 8
Cartesian
-0.591 -1.056 -1.709
1.361 -4.189 -0.447
3.859 -1.937 -0.137
3.218 -4.345 1.572
4.704 -2.239 -2.807
4.038 -4.531 -1.161
0.965 -6.396 1.053
1.182 -1.595 0.577
0.515 -3.887 2.223
2.001 -1.781 -2.156
4.255 0.270 -1.637
```

Entry 2:
Entry from Alexandria via LeMat-Bulk: a geometry-optimized CuSn5Pd2 structure (PBE).

Results
- magnetic moment (μB per formula unit) = 0.000

Geometry as POSCAR:
```
CuSn5Pd2
1.0
4.838 0.000 0.000
-2.419 6.602 0.000
0.000 0.000 13.559
Cu Sn Pd
2 10 4
Cartesian
2.419 3.599 10.169
0.000 3.004 3.390
2.419 5.722 11.660
2.419 5.722 8.678
0.000 3.949 5.898
0.000 3.949 0.881
2.419 4.244 3.390
0.000 2.358 10.169
2.419 2.653 7.661
2.419 2.653 12.678
0.000 0.880 1.899
0.000 0.880 4.881
2.419 5.150 6.080
2.419 5.150 0.700
0.000 1.452 7.479
0.000 1.452 12.859
```

The calculation returns the following density values, one per record and in order: 10.74; 6.67 Mg/m³.
The calculation returns the following raw total energy values, one per record and in order: -5.200; -4.393 eV per atom.
The calculation returns the following calculated formation energy values, one per record and in order: -3.559; -0.647 eV per formula unit.